Below is AcZn9Au3 after structural relaxation, with properties calculated at the PBE level.

Cell and atoms, written as CIF:
```
data_AcZn9Au3
_chemical_formula_sum 'Ac2 Zn18 Au6'
_space_group_name_H-M_alt 'C 1 2/m 1'
_space_group_IT_number 12
_cell_length_a 5.431
_cell_length_b 13.057
_cell_length_c 7.068
_cell_angle_alpha 90.00
_cell_angle_beta 111.22
_cell_angle_gamma 90.00
loop_
_space_group_symop_operation_xyz
'x,y,z'
'-x,-y,-z'
'-x,y,-z'
'x,-y,z'
'x+1/2,y+1/2,z'
'-x+1/2,-y+1/2,-z'
'-x+1/2,y+1/2,-z'
'x+1/2,-y+1/2,z'
loop_
_atom_site_label
_atom_site_type_symbol
_atom_site_fract_x
_atom_site_fract_y
_atom_site_fract_z
Ac1 Ac 0.000 0.000 0.000
Zn1 Zn 0.000 0.500 0.500
Zn2 Zn 0.107 0.388 0.230
Zn3 Zn 0.184 0.180 0.362
Au1 Au 0.000 0.000 0.500
Au2 Au 0.250 0.250 0.000
```

* N(E_F): 9.02 states/eV/cell
* calculated volume: 18.0 Å³ per atom
* energy of formation: -22.5 kJ per mole of atoms